A geometry-optimized Th2GaBr structure, computed with PBE.

Lattice parameters (Å, degrees): 3.5770 3.5770 29.1804 90.00 90.00 120.00
Space group R-3m (No. 166, hexagonal axes)
Unique sites:
Th: 0.0000 0.0000 0.2479 [6 per cell]
Ga: 0.0000 0.0000 0.5000 [3 per cell]
Br: 0.0000 0.0000 0.0000 [3 per cell]

**Total moment**: 0.001 μB/f.u.
**Uncorrected energy**: -5.41 eV/atom
**Uncorrected formation energy**: -526 meV/atom

=====

A geometry-optimized ThGa3Br7 structure, computed with PBE.

Lattice parameters (Å, degrees): 11.501 9.806 8.284 90.00 118.23 90.00
Space group Cm (No. 8)
Unique sites:
Th: 0.000 0.000 0.000 [2 per cell]
Ga: 0.387 0.281 0.413 [4 per cell]
Ga: 0.388 0.000 0.929 [2 per cell]
Br: 0.076 0.242 0.235 [4 per cell]
Br: 0.085 0.000 0.715 [2 per cell]
Br: 0.298 0.000 0.202 [2 per cell]
Br: 0.300 0.500 0.132 [2 per cell]
Br: 0.324 0.300 0.750 [4 per cell]

**Total moment**: 0.000 μB/f.u.
**Uncorrected energy**: -3.64 eV/atom
**Uncorrected formation energy**: -1078 meV/atom

=====

A geometry-optimized ThTlGa2Br8 structure, computed with PBE.

Lattice parameters (Å, degrees): 6.826 7.184 9.304 89.95 89.93 89.31
Space group P-1 (No. 2)
Unique sites:
Th: 0.000 0.000 0.000 [1 per cell]
Tl: 0.000 0.000 0.500 [1 per cell]
Ga: 0.500 0.500 0.274 [2 per cell]
Br: 0.241 0.836 0.220 [2 per cell]
Br: 0.242 0.837 0.780 [2 per cell]
Br: 0.249 0.315 0.000 [2 per cell]
Br: 0.294 0.362 0.500 [2 per cell]

**Total moment**: 0.001 μB/f.u.
**Uncorrected energy**: -3.49 eV/atom
**Uncorrected formation energy**: -1050 meV/atom

=====

A geometry-optimized ThTlGaBr6 structure, computed with PBE.

Lattice parameters (Å, degrees): 7.8508 7.8508 13.9347 90.00 90.00 120.00
Space group P-31c (No. 163)
Unique sites:
Th: 0.3333 0.6667 0.2500 [2 per cell]
Tl: 0.0000 0.0000 0.0000 [2 per cell]
Ga: 0.3333 0.6667 0.7500 [2 per cell]
Br: 0.0265 0.3746 0.1336 [12 per cell]

**Total moment**: 0.000 μB/f.u.
**Uncorrected energy**: -3.84 eV/atom
**Uncorrected formation energy**: -1302 meV/atom

=====

A geometry-optimized TiGaBr3 structure, computed with PBE.

Lattice parameters (Å, degrees): 5.325 5.325 5.325 90.00 90.00 90.00
Space group Pm-3m (No. 221)
Unique sites:
Ti: 0.000 0.000 0.000 [1 per cell]
Ga: 0.500 0.500 0.500 [1 per cell]
Br: 0.000 0.500 0.500 [3 per cell]

**Total moment**: 0.275 μB/f.u.
**Uncorrected energy**: -2.98 eV/atom
**Uncorrected formation energy**: 206 meV/atom

=====

A geometry-optimized TiGaBr3 structure, computed with PBE.

Lattice parameters (Å, degrees): 5.275 5.275 5.275 90.00 90.00 90.00
Space group Pm-3m (No. 221)
Unique sites:
Ti: 0.000 0.000 0.000 [1 per cell]
Ga: 0.500 0.500 0.500 [1 per cell]
Br: 0.000 0.000 0.500 [3 per cell]

**Total moment**: 2.000 μB/f.u.
**Uncorrected energy**: -3.86 eV/atom
**Uncorrected formation energy**: -676 meV/atom

=====

A geometry-optimized TiGaBr structure, computed with PBE.

Lattice parameters (Å, degrees): 13.901 3.267 5.660 90.00 90.00 90.00
Space group Amm2 (No. 38)
Unique sites:
Ti: 0.145 0.000 0.000 [4 per cell]
Ga: 0.000 0.000 0.667 [2 per cell]
Ga: 0.500 0.000 0.662 [2 per cell]
Br: 0.272 0.000 0.667 [4 per cell]

**Total moment**: 0.000 μB/f.u.
**Uncorrected energy**: -4.68 eV/atom
**Uncorrected formation energy**: -479 meV/atom

=====

A geometry-optimized TiGa2Br4 structure, computed with PBE.

Lattice parameters (Å, degrees): 5.235 5.235 15.622 90.00 90.00 90.00
Space group I4/mmm (No. 139)
Unique sites:
Ti: 0.000 0.000 0.000 [2 per cell]
Ga: 0.000 0.000 0.357 [4 per cell]
Br: 0.000 0.000 0.173 [4 per cell]
Br: 0.000 0.500 0.000 [4 per cell]

**Total moment**: 2.000 μB/f.u.
**Uncorrected energy**: -3.59 eV/atom
**Uncorrected formation energy**: -643 meV/atom

=====

A geometry-optimized Ti3GaBr structure, computed with PBE.

Lattice parameters (Å, degrees): 4.911 4.911 4.911 90.00 90.00 90.00
Space group Pm-3m (No. 221)
Unique sites:
Ti: 0.000 0.000 0.500 [3 per cell]
Ga: 0.000 0.000 0.000 [1 per cell]
Br: 0.500 0.500 0.500 [1 per cell]

**Total moment**: 5.477 μB/f.u.
**Uncorrected energy**: -5.02 eV/atom
**Uncorrected formation energy**: 655 meV/atom

=====

A geometry-optimized TiGa2Br6 structure, computed with PBE.

Lattice parameters (Å, degrees): 6.969 6.969 12.340 90.00 90.00 90.00
Space group P4_2/mnm (No. 136)
Unique sites:
Ti: 0.000 0.000 0.000 [2 per cell]
Ga: 0.000 0.000 0.331 [4 per cell]
Br: 0.181 0.181 0.149 [8 per cell]
Br: 0.246 0.246 0.500 [4 per cell]

**Total moment**: 0.000 μB/f.u.
**Uncorrected energy**: -3.53 eV/atom
**Uncorrected formation energy**: -867 meV/atom

=====

A geometry-optimized TiTl2GaBr6 structure, computed with PBE.

Lattice parameters (Å, degrees): 7.8400 7.8400 19.2448 90.00 90.00 120.00
Space group R3 (No. 146, hexagonal axes)
Unique sites:
Ti: 0.0000 0.0000 0.0000 [3 per cell]
Tl: 0.0000 0.0000 0.2887 [3 per cell]
Tl: 0.0000 0.0000 0.7799 [3 per cell]
Ga: 0.0000 0.0000 0.5067 [3 per cell]
Br: 0.0295 0.4363 0.7415 [9 per cell]
Br: 0.1028 0.7314 0.5851 [9 per cell]

**Total moment**: 1.000 μB/f.u.
**Uncorrected energy**: -3.48 eV/atom
**Uncorrected formation energy**: -912 meV/atom

=====

A geometry-optimized TiZnGaBr2 structure, computed with PBE.

Lattice parameters (Å, degrees): 5.045 5.045 5.487 90.00 90.00 90.00
Space group P4/mmm (No. 123)
Unique sites:
Ti: 0.000 0.000 0.000 [1 per cell]
Zn: 0.500 0.500 0.500 [1 per cell]
Ga: 0.000 0.000 0.500 [1 per cell]
Br: 0.000 0.500 0.000 [2 per cell]

**Total moment**: 1.158 μB/f.u.
**Uncorrected energy**: -3.27 eV/atom
**Uncorrected formation energy**: -164 meV/atom

=====

A geometry-optimized Tl2Ga2Br7 structure, computed with PBE.

Lattice parameters (Å, degrees): 6.718 16.381 8.473 90.00 98.54 90.00
Space group P2_1/c (No. 14)
Unique sites:
Tl: 0.118 0.150 0.417 [4 per cell]
Ga: 0.346 0.612 0.653 [4 per cell]
Br: 0.070 0.675 0.477 [4 per cell]
Br: 0.216 0.555 0.884 [4 per cell]
Br: 0.411 0.216 0.743 [4 per cell]
Br: 0.500 0.000 0.000 [2 per cell]

**Total moment**: 0.000 μB/f.u.
**Uncorrected energy**: -2.81 eV/atom
**Uncorrected formation energy**: -764 meV/atom

=====

A geometry-optimized TlGa2Br4 structure, computed with PBE.

Lattice parameters (Å, degrees): 13.946 10.174 9.050 90.00 128.99 90.00
Space group Cm (No. 8)
Unique sites:
Tl: 0.000 0.000 0.000 [2 per cell]
Tl: 0.130 0.000 0.665 [2 per cell]
Ga: 0.065 0.500 0.334 [2 per cell]
Ga: 0.065 0.500 0.833 [2 per cell]
Ga: 0.315 0.250 0.333 [4 per cell]
Br: 0.039 0.323 0.013 [4 per cell]
Br: 0.091 0.323 0.653 [4 per cell]
Br: 0.279 0.000 0.095 [2 per cell]
Br: 0.301 0.500 0.098 [2 per cell]
Br: 0.329 0.000 0.568 [2 per cell]
Br: 0.351 0.500 0.570 [2 per cell]

**Total moment**: 0.000 μB/f.u.
**Uncorrected energy**: -2.81 eV/atom
**Uncorrected formation energy**: -648 meV/atom

=====

A geometry-optimized Tl6GaBr8 structure, computed with PBE.

Lattice parameters (Å, degrees): 9.8392 9.8392 6.3884 90.00 90.00 120.00
Space group P-3 (No. 147)
Unique sites:
Tl: 0.0015 0.3789 0.2667 [6 per cell]
Ga: 0.0000 0.0000 0.5000 [1 per cell]
Br: 0.0005 0.2404 0.7381 [6 per cell]
Br: 0.3333 0.6667 0.4998 [2 per cell]

**Total moment**: 0.000 μB/f.u.
**Uncorrected energy**: -2.80 eV/atom
**Uncorrected formation energy**: -759 meV/atom

=====

A geometry-optimized Tl3GaBr4 structure, computed with PBE.

Lattice parameters (Å, degrees): 11.285 9.604 6.662 90.00 90.00 90.00
Space group Pmn2_1 (No. 31)
Unique sites:
Tl: 0.000 0.164 0.000 [2 per cell]
Tl: 0.247 0.331 0.499 [4 per cell]
Ga: 0.000 0.828 0.486 [2 per cell]
Br: 0.000 0.145 0.501 [2 per cell]
Br: 0.000 0.827 0.041 [2 per cell]
Br: 0.241 0.674 0.499 [4 per cell]

**Total moment**: 0.000 μB/f.u.
**Uncorrected energy**: -2.85 eV/atom
**Uncorrected formation energy**: -745 meV/atom

=====

A geometry-optimized TlGaBr3 structure, computed with PBE.

Lattice parameters (Å, degrees): 5.769 5.769 5.769 90.00 90.00 90.00
Space group Pm-3m (No. 221)
Unique sites:
Tl: 0.000 0.000 0.000 [1 per cell]
Ga: 0.500 0.500 0.500 [1 per cell]
Br: 0.000 0.000 0.500 [3 per cell]

**Total moment**: 0.000 μB/f.u.
**Uncorrected energy**: -2.49 eV/atom
**Uncorrected formation energy**: -403 meV/atom

=====

A geometry-optimized Tl2GaBr structure, computed with PBE.

Lattice parameters (Å, degrees): 6.567 6.567 14.509 90.00 90.00 90.00
Space group I-42d (No. 122)
Unique sites:
Tl: 0.194 0.250 0.125 [8 per cell]
Ga: 0.000 0.000 0.000 [4 per cell]
Br: 0.000 0.000 0.500 [4 per cell]

**Total moment**: 0.000 μB/f.u.
**Uncorrected energy**: -2.46 eV/atom
**Uncorrected formation energy**: -98 meV/atom

=====

A geometry-optimized Tl5GaBr6 structure, computed with PBE.

Lattice parameters (Å, degrees): 8.190 14.159 8.177 90.00 109.56 90.00
Space group C2/m (No. 12)
Unique sites:
Tl: 0.000 0.000 0.000 [2 per cell]
Tl: 0.000 0.166 0.500 [4 per cell]
Tl: 0.000 0.331 0.000 [4 per cell]
Ga: 0.000 0.500 0.500 [2 per cell]
Br: 0.238 0.500 0.252 [4 per cell]
Br: 0.240 0.340 0.741 [8 per cell]

**Total moment**: 0.000 μB/f.u.
**Uncorrected energy**: -2.88 eV/atom
**Uncorrected formation energy**: -803 meV/atom

=====

A geometry-optimized TlGa2Br3 structure, computed with PBE.

Lattice parameters (Å, degrees): 6.497 6.498 10.219 90.00 108.45 90.00
Space group C2 (No. 5)
Unique sites:
Tl: 0.000 0.000 0.000 [2 per cell]
Ga: 0.171 0.500 0.340 [4 per cell]
Br: 0.000 0.500 0.000 [2 per cell]
Br: 0.174 0.001 0.350 [4 per cell]

**Total moment**: 0.000 μB/f.u.
**Uncorrected energy**: -2.87 eV/atom
**Uncorrected formation energy**: -629 meV/atom

=====

V, record by record: 26.9 37.4 38.0 41.3 30.2 29.4 21.4 30.6 23.7 33.3 34.2 27.9 41.9 35.6 35.7 45.1 38.4 39.1 37.2 34.1 A^3/atom